[1]
## SrTa2Br (PBE-GGA)

Data for a relaxed SrTa2Br crystal.

Cell: 7.209 7.209 3.333 Å, 76.67 76.67 133.60°
Fractional positions:
Sr  0.000  0.500  0.500
Ta  0.000  0.000  0.000
Ta  0.500  0.500  0.000
Br  0.500  0.000  0.500

## Properties
As for the formation energy (no corrections): 183.5 kJ/mol of formula units. As for the energy above the most stable polymorph in this dataset: 408 meV/atom. Its space-group type is C2/m (12).

---

[2]
## CeSb2Pd9 (PBE-GGA)

Data for a relaxed CeSb2Pd9 crystal.

Cell: 4.119 4.119 12.091 Å, 90.00 90.00 90.00°
Last column: magnetic moment on the atom in μB.
Fractional positions:
Pd  0.500  0.000  0.500  0.00
Pd  0.000  0.500  0.171  -0.01
Pd  0.000  0.500  0.500  0.00
Pd  0.500  0.000  0.829  -0.01
Pd  0.000  0.500  0.829  -0.01
Pd  0.500  0.500  0.338  0.01
Pd  0.500  0.000  0.171  -0.01
Pd  0.500  0.500  0.000  -0.01
Pd  0.500  0.500  0.662  0.01
Ce  0.000  0.000  0.000  0.27
Sb  0.000  0.000  0.338  0.00
Sb  0.000  0.000  0.662  0.00

## Properties
As for the formation energy (no corrections): -596.9 kJ/mol of formula units. Its space-group type is P4/mmm (123).

---

[3]
## ReAgP2 (PBE-GGA)

Data for a relaxed ReAgP2 crystal.

Cell: 4.343 2.579 6.319 Å, 112.81 90.00 90.00°
Fractional positions:
P  0.000  0.047  0.038
P  0.000  0.453  0.462
Re  0.500  0.250  0.250
Ag  0.500  0.750  0.750

## Properties
As for the energy above the most stable polymorph in this dataset: 438 meV/atom. The value obtained for the energy relative to the elements is 1.86 eV per formula unit. Its space-group type is P2/m (10).

---

[4]
## UFeSi2 (PBE-GGA)

Data for a relaxed UFeSi2 crystal.

Cell: 2.778 2.778 9.369 Å, 81.47 81.47 60.00°
Last column: magnetic moment on the atom in μB.
Fractional positions:
Fe  0.500  0.500  0.500  0.12
Si  0.896  0.896  0.311  0.00
Si  0.104  0.104  0.689  0.00
U  0.000  0.000  0.000  0.00

## Properties
As for the formation energy (no corrections): 50.2 kJ/mol of formula units. Its space-group type is R-3m (166).

---

| no. | electronic total energy (eV per atom) |
| --- | --- |
| 1 | -6.29 |
| 2 | -5.59 |
| 3 | -6.07 |
| 4 | -7.52 |